Record 1
{
  "formula": "Rb3Tl3HgI8",
  "functional": "PBE-GGA",
  "state": "optimized geometry",
  "raw_formation_energy_ev_per_atom": -0.896,
  "magnetic_moment_mub_per_cell": 0.000,
  "cell": [[10.314, 0.000, 0.000], [-5.157, 8.934, -0.029], [0.000, -5.928, 8.165]],
  "species": ["Rb", "Rb", "Rb", "Tl", "Tl", "Tl", "Hg", "I", "I", "I", "I", "I", "I", "I", "I"],
  "frac_coords": [[0.500, 0.000, 0.500], [0.500, 0.500, 0.500], [0.000, 0.500, 0.500], [0.000, 0.000, 0.000], [0.000, 0.500, 0.000], [0.500, 0.500, 0.000], [0.000, 0.000, 0.500], [0.246, 0.492, 0.239], [0.754, 0.508, 0.761], [0.784, 0.568, 0.275], [0.216, 0.432, 0.725], [0.784, 0.992, 0.275], [0.216, 0.008, 0.725], [0.208, 0.992, 0.275], [0.792, 0.008, 0.725]]
}



Record 2
{
  "formula": "RbTlHg2I6",
  "functional": "PBE-GGA",
  "state": "optimized geometry",
  "raw_formation_energy_ev_per_atom": -0.597,
  "magnetic_moment_mub_per_cell": 0.000,
  "n_ef_per_ev_fu": 0.00,
  "cell": [[-4.953, 9.603, 1.096], [-6.800, -7.881, -3.100], [0.288, -2.508, 10.323]],
  "species": ["Rb", "Rb", "Tl", "Tl", "Hg", "Hg", "Hg", "Hg", "I", "I", "I", "I", "I", "I", "I", "I", "I", "I", "I", "I"],
  "frac_coords": [[0.061, 0.939, 0.250], [0.939, 0.061, 0.750], [0.520, 0.480, 0.250], [0.480, 0.520, 0.750], [0.483, 0.173, 0.546], [0.827, 0.517, 0.954], [0.517, 0.827, 0.454], [0.173, 0.483, 0.046], [0.004, 0.562, 0.202], [0.438, 0.996, 0.298], [0.996, 0.438, 0.798], [0.562, 0.004, 0.702], [0.179, 0.228, 0.076], [0.772, 0.821, 0.424], [0.821, 0.772, 0.924], [0.228, 0.179, 0.576], [0.324, 0.568, 0.453], [0.432, 0.676, 0.047], [0.676, 0.432, 0.547], [0.568, 0.324, 0.953]]
}



Record 3
{
  "formula": "Rb2TlHgI5",
  "functional": "PBE-GGA",
  "state": "optimized geometry",
  "raw_formation_energy_ev_per_atom": -0.908,
  "magnetic_moment_mub_per_cell": 0.000,
  "cell": [[-4.104, -2.405, -0.823], [7.206, -8.510, 3.092], [-4.136, 1.936, 14.971]],
  "species": ["Rb", "Rb", "Rb", "Rb", "Tl", "Tl", "Hg", "Hg", "I", "I", "I", "I", "I", "I", "I", "I", "I", "I"],
  "frac_coords": [[0.869, 0.738, 0.838], [0.125, 0.250, 0.686], [0.131, 0.262, 0.338], [0.875, 0.750, 0.186], [0.796, 0.593, 0.543], [0.204, 0.407, 0.043], [0.555, 0.109, 0.913], [0.445, 0.891, 0.413], [0.350, 0.700, 0.014], [0.675, 0.351, 0.865], [0.491, 0.981, 0.758], [0.292, 0.583, 0.695], [0.973, 0.945, 0.513], [0.650, 0.300, 0.514], [0.325, 0.649, 0.365], [0.509, 0.019, 0.258], [0.708, 0.417, 0.195], [0.027, 0.055, 0.013]]
}



Record 4
{
  "formula": "RbTmHgI6",
  "functional": "PBE-GGA",
  "state": "optimized geometry",
  "raw_formation_energy_ev_per_atom": -1.007,
  "magnetic_moment_mub_per_cell": 0.000,
  "cell": [[7.863, 0.001, 0.000], [3.932, 6.811, 0.000], [0.000, -0.001, 8.201]],
  "species": ["Rb", "Tm", "Hg", "I", "I", "I", "I", "I", "I"],
  "frac_coords": [[0.000, 0.000, 0.000], [0.667, 0.667, 0.500], [0.333, 0.333, 0.500], [0.994, 0.376, 0.285], [0.376, 0.994, 0.715], [0.630, 0.376, 0.715], [0.994, 0.630, 0.715], [0.376, 0.630, 0.285], [0.630, 0.994, 0.285]]
}



Record 5
{
  "formula": "RbUHg2I6",
  "functional": "PBE-GGA",
  "state": "optimized geometry",
  "raw_formation_energy_ev_per_atom": -0.737,
  "magnetic_moment_mub_per_cell": 1.000,
  "cell": [[-1.911, -5.751, -7.439], [-4.547, -1.283, 8.355], [-1.759, 8.192, 0.303]],
  "species": ["Rb", "U", "Hg", "Hg", "I", "I", "I", "I", "I", "I"],
  "frac_coords": [[0.997, 0.498, 0.481], [0.997, 0.998, 0.980], [0.406, 0.703, 0.095], [0.587, 0.293, 0.865], [0.557, 0.884, 0.713], [0.436, 0.111, 0.248], [0.937, 0.825, 0.247], [0.150, 0.324, 0.247], [0.843, 0.672, 0.713], [0.056, 0.171, 0.713]]
}



Record 6
{
  "formula": "Rb2UHg2I6",
  "functional": "PBE-GGA",
  "state": "optimized geometry",
  "raw_formation_energy_ev_per_atom": -0.910,
  "magnetic_moment_mub_per_cell": 2.000,
  "n_ef_per_ev_fu": 10.91,
  "cell": [[-5.760, -1.136, 6.855], [-0.503, -5.165, -7.384], [8.115, -3.340, 3.941]],
  "species": ["Rb", "Rb", "U", "Hg", "Hg", "I", "I", "I", "I", "I", "I"],
  "frac_coords": [[0.332, 0.668, 0.500], [0.668, 0.332, 0.500], [0.000, 0.000, 0.500], [0.810, 0.190, 0.000], [0.190, 0.810, 0.000], [0.801, 0.801, 0.696], [0.080, 0.353, 0.699], [0.199, 0.199, 0.304], [0.353, 0.080, 0.699], [0.920, 0.647, 0.301], [0.647, 0.920, 0.301]]
}



| no. | total energy (eV for the cell shown) |
| --- | --- |
| 1 | -36.15 |
| 2 | -38.41 |
| 3 | -41.06 |
| 4 | -24.10 |
| 5 | -29.53 |
| 6 | -33.14 |